# In2PbI5 | Alexandria via LeMat-Bulk | PBE-GGA | optimized geometry
# Space-group type ... Fmmm
# DOS at the Fermi energy ... 5.6 states/eV/cell
# Total magnetic moment ... 0.00 μB/f.u.
# Total energy ... -2.497 eV per atom
data_In2PbI5
_space_group_name_H-M_alt 'P 1'
_space_group_IT_number 1
_cell_length_a 10.914
_cell_length_b 8.708
_cell_length_c 8.015
_cell_angle_alpha 81.37
_cell_angle_beta 52.08
_cell_angle_gamma 46.55
loop_
_space_group_symop_operation_xyz
'x,y,z'
loop_
_atom_site_label
_atom_site_type_symbol
_atom_site_fract_x
_atom_site_fract_y
_atom_site_fract_z
In1 In 0.198 0.198 0.802
In2 In 0.802 0.802 0.198
Pb1 Pb 0.500 0.500 0.500
I1 I 0.000 0.000 0.000
I2 I 0.204 0.485 0.515
I3 I 0.485 0.204 0.796
I4 I 0.515 0.796 0.204
I5 I 0.796 0.515 0.485

---

# InPbI3 | Alexandria via LeMat-Bulk | PBE-GGA | optimized geometry
# Space-group type ... P2_1/m
# DOS at the Fermi energy ... 0.0 states/eV/cell
# Total magnetic moment ... 0.00 μB/f.u.
# Total energy ... -2.727 eV per atom
data_InPbI3
_space_group_name_H-M_alt 'P 1'
_space_group_IT_number 1
_cell_length_a 8.081
_cell_length_b 5.497
_cell_length_c 12.911
_cell_angle_alpha 90.00
_cell_angle_beta 104.18
_cell_angle_gamma 90.00
loop_
_space_group_symop_operation_xyz
'x,y,z'
loop_
_atom_site_label
_atom_site_type_symbol
_atom_site_fract_x
_atom_site_fract_y
_atom_site_fract_z
In1 In 0.035 0.250 0.339
In2 In 0.965 0.750 0.661
Pb1 Pb 0.461 0.250 0.833
Pb2 Pb 0.539 0.750 0.167
I1 I 0.210 0.750 0.242
I2 I 0.220 0.250 0.607
I3 I 0.302 0.750 0.901
I4 I 0.698 0.250 0.099
I5 I 0.780 0.750 0.393
I6 I 0.790 0.250 0.758